Here is a crystal of CaMg2 relaxed with PBEsol from Alexandria. Energies are from meta-GGA SCAN.

ΔE_f = -0.015 eV/atom
Symmetry = No. 189

Cell: 7.9303 7.9303 4.7389 Å, 90.00 90.00 120.00°
Fractional positions:
1 Ca 0.0000 0.5785 0.0000
2 Ca 0.4215 0.4215 0.0000
3 Ca 0.5785 0.0000 0.0000
4 Mg 0.0000 0.0000 0.0000
5 Mg 0.0000 0.2379 0.5000
6 Mg 0.2379 0.0000 0.5000
7 Mg 0.3333 0.6667 0.5000
8 Mg 0.6667 0.3333 0.5000
9 Mg 0.7621 0.7621 0.5000